Entry 1:
Below is a relaxed structure of KScAg2, with properties calculated at the PBE-GGA level.

Output
Space group: Imm2 (44)
Calculated volume, Å³/f.u.: 99.4
Calculated formation energy, meV per atom: 192
Fermi-level density of states, states/eV per cell: 6.363
Energy relative to the lowest polymorph listed for this composition, eV/atom: 0.251
M_tot, Bohr magnetons per cell: 0.00

abc: 3.1936 5.4051 11.5113
angles: 90.00 90.00 90.00
Element x y z (fractional)
K1 0.0000 0.0000 0.0000
K2 0.5000 0.5000 0.5000
Sc1 0.0000 0.5000 0.7987
Sc2 0.5000 0.0000 0.2987
Ag1 0.0000 0.0000 0.5197
Ag2 0.0000 0.5000 0.2318
Ag3 0.5000 0.0000 0.7318
Ag4 0.5000 0.5000 0.0197


Entry 2:
Below is a relaxed structure of K2ScAg, with properties calculated at the PBE-GGA level.

Output
Space group: Imm2 (44)
Calculated volume, Å³/f.u.: 154.3
Calculated formation energy, meV per atom: 368
Fermi-level density of states, states/eV per cell: 6.891
Energy relative to the lowest polymorph listed for this composition, eV/atom: 0.198
M_tot, Bohr magnetons per cell: 1.31

abc: 3.5614 6.4886 13.3527
angles: 90.00 90.00 90.00
Element x y z (fractional)
K1 0.0000 0.0000 0.0000
K2 0.0000 0.5000 0.1944
K3 0.5000 0.0000 0.6944
K4 0.5000 0.5000 0.5000
Sc1 0.0000 0.5000 0.8079
Sc2 0.5000 0.0000 0.3079
Ag1 0.0000 0.0000 0.4683
Ag2 0.5000 0.5000 0.9683